# 1
Material: Pm2PrHgO
Method: DFT, GGA-PBE
State: optimized geometry

Crystal system: tetragonal
E_form (uncorrected) (eV per atom): -1.34
N(E_F) (states/eV/cell): 2.69

Unit cell a=5.007 b=4.924 c=4.924 alpha=90.00 beta=90.00 gamma=90.00
Sites, in units of the cell vectors:
1 Pm 0.000 0.500 0.000
2 Pm 0.000 0.000 0.500
3 Hg 0.500 0.500 0.500
4 Pr 0.500 0.000 0.000
5 O 0.000 0.000 0.000


# 2
Material: InGa2HOs
Method: DFT, GGA-PBE
State: optimized geometry

Crystal system: tetragonal
E (eV per cell): -20.64
N(E_F) (states/eV/cell): 1.92

Unit cell a=4.081 b=4.286 c=4.081 alpha=90.00 beta=90.00 gamma=90.00
Sites, in units of the cell vectors:
1 H 0.000 0.000 0.000
2 Ga 0.500 0.000 0.000
3 Ga 0.000 0.000 0.500
4 Os 0.500 0.500 0.500
5 In 0.000 0.500 0.000


# 3
Material: LaIrOs2
Method: DFT, GGA-PBE
State: optimized geometry

Crystal system: cubic
E above lowest polymorph (eV per atom): 0.6011
Formation enthalpy at 0 K (eV per formula unit): 3.17
N(E_F) (states/eV/cell): 8.48

Unit cell a=4.658 b=4.658 c=4.658 alpha=60.00 beta=60.00 gamma=60.00
Sites, in units of the cell vectors:
1 La 0.000 0.000 0.000
2 Os 0.750 0.750 0.750
3 Os 0.250 0.250 0.250
4 Ir 0.500 0.500 0.500


> The lowest N(E_F) belongs to which entry?

InGa2HOs


> The highest N(E_F) belongs to which entry?

LaIrOs2


> What is the formula in the second record?

InGa2HOs